# 1
Entry from Alexandria via LeMat-Bulk: an optimized crystal structure of Zn2Ir (GGA-PBE).

Values from the calculation:
* formation enthalpy at 0 K: -41.5 kJ/mol of formula units
* M_tot: 0.00 Bohr magnetons per cell
* total DFT energy (no corrections): -3.9464 eV per atom
* space-group type: Fd-3m
* crystal system: cubic

a = 8.055 Å, b = 8.055 Å, c = 8.055 Å
α = 60.00°, β = 60.00°, γ = 60.00°
Atoms (fractional coordinates):
1 Ir 0.717 0.849 0.717
2 Ir 0.349 0.217 0.717
3 Ir 0.717 0.217 0.349
4 Ir 0.717 0.217 0.717
5 Ir 0.283 0.151 0.283
6 Ir 0.651 0.783 0.283
7 Ir 0.283 0.783 0.651
8 Ir 0.283 0.783 0.283
9 Zn 0.500 0.000 0.500
10 Zn 0.500 0.000 0.000
11 Zn 0.000 0.000 0.500
12 Zn 0.500 0.500 0.500
13 Zn 0.316 0.816 0.934
14 Zn 0.934 0.816 0.316
15 Zn 0.934 0.816 0.934
16 Zn 0.316 0.434 0.316
17 Zn 0.316 0.434 0.934
18 Zn 0.934 0.434 0.316
19 Zn 0.684 0.184 0.066
20 Zn 0.066 0.184 0.684
21 Zn 0.066 0.184 0.066
22 Zn 0.684 0.566 0.684
23 Zn 0.684 0.566 0.066
24 Zn 0.066 0.566 0.684

# 2
Entry from Alexandria via LeMat-Bulk: an optimized crystal structure of SrEuIr4 (GGA-PBE).

Values from the calculation:
* formation enthalpy at 0 K: -211.0 kJ/mol of formula units
* M_tot: 5.92 Bohr magnetons per cell
* total DFT energy (no corrections): -8.2646 eV per atom
* space-group type: F-43m
* crystal system: cubic

a = 5.452 Å, b = 5.452 Å, c = 5.452 Å
α = 60.00°, β = 60.00°, γ = 60.00°
Each line ends with the local moment (μB).
Atoms (fractional coordinates):
1 Eu 0.250 0.250 0.250  6.66
2 Sr 0.000 0.000 0.000  0.02
3 Ir 0.625 0.625 0.125  -0.24
4 Ir 0.625 0.125 0.625  -0.24
5 Ir 0.625 0.625 0.625  -0.24
6 Ir 0.125 0.625 0.625  -0.24

# 3
Entry from Alexandria via LeMat-Bulk: an optimized crystal structure of PaAlGaO6 (GGA-PBE).

Values from the calculation:
* M_tot: 1.88 Bohr magnetons per cell
* total DFT energy (no corrections): -7.5320 eV per atom
* space-group type: P-31c
* crystal system: trigonal
* formation energy without anion corrections: -2419.3 meV per atom

a = 5.250 Å, b = 5.250 Å, c = 8.581 Å
α = 90.00°, β = 90.00°, γ = 120.00°
Each line ends with the local moment (μB).
Atoms (fractional coordinates):
1 Pa 0.333 0.667 0.250  -0.01
2 Pa 0.667 0.333 0.750  -0.01
3 Al 0.000 0.000 0.000  -0.01
4 Al 0.000 0.000 0.500  -0.01
5 Ga 0.667 0.333 0.250  -0.01
6 Ga 0.333 0.667 0.750  -0.01
7 O 0.698 0.673 0.123  0.14
8 O 0.975 0.302 0.123  0.14
9 O 0.302 0.975 0.623  0.14
10 O 0.025 0.698 0.877  0.14
11 O 0.327 0.302 0.377  0.14
12 O 0.975 0.673 0.377  0.14
13 O 0.673 0.975 0.877  0.14
14 O 0.698 0.025 0.377  0.14
15 O 0.025 0.327 0.623  0.14
16 O 0.327 0.025 0.123  0.14
17 O 0.673 0.698 0.623  0.14
18 O 0.302 0.327 0.877  0.14

# 4
Entry from Alexandria via LeMat-Bulk: an optimized crystal structure of La5TbPr6 (GGA-PBE).

Values from the calculation:
* formation enthalpy at 0 K: 15.7 kJ/mol of formula units
* M_tot: 0.00 Bohr magnetons per cell
* total DFT energy (no corrections): -4.8152 eV per atom
* space-group type: C2/m
* crystal system: monoclinic

a = 12.313 Å, b = 6.434 Å, c = 6.435 Å
α = 60.00°, β = 84.93°, γ = 79.83°
Atoms (fractional coordinates):
1 La 0.500 0.166 0.667
2 La 0.000 0.333 0.334
3 La 0.500 0.500 0.000
4 La 0.000 0.667 0.666
5 La 0.500 0.834 0.333
6 Tb 0.000 0.000 0.000
7 Pr 0.751 0.082 0.332
8 Pr 0.249 0.586 0.332
9 Pr 0.248 0.250 0.000
10 Pr 0.752 0.750 0.000
11 Pr 0.751 0.414 0.668
12 Pr 0.249 0.918 0.668

# 5
Entry from Alexandria via LeMat-Bulk: an optimized crystal structure of Al2MoOs (GGA-PBE).

Values from the calculation:
* formation enthalpy at 0 K: -87.7 kJ/mol of formula units
* M_tot: 0.00 Bohr magnetons per cell
* total DFT energy (no corrections): -7.6136 eV per atom
* space-group type: P4/mmm
* crystal system: tetragonal
* energy above the lowest structure with this stoichiometry: 97 meV per atom

a = 2.977 Å, b = 2.979 Å, c = 6.566 Å
α = 90.00°, β = 90.00°, γ = 90.00°
Atoms (fractional coordinates):
1 Mo 0.500 0.500 0.250
2 Os 0.500 0.500 0.750
3 Al 0.000 0.000 0.973
4 Al 0.000 0.000 0.527

# 6
Entry from Alexandria via LeMat-Bulk: an optimized crystal structure of MnTeS2 (GGA-PBE).

Values from the calculation:
* M_tot: 2.66 Bohr magnetons per cell
* total DFT energy (no corrections): -5.3970 eV per atom
* space-group type: P3m1
* crystal system: trigonal
* formation energy without anion corrections: -255.5 meV per atom

a = 3.389 Å, b = 3.389 Å, c = 8.026 Å
α = 90.00°, β = 90.00°, γ = 120.00°
Each line ends with the local moment (μB).
Atoms (fractional coordinates):
1 S 0.333 0.667 0.827  -0.03
2 S 0.667 0.333 0.151  -0.07
3 Te 0.333 0.667 0.489  -0.04
4 Mn 0.000 0.000 0.987  2.73

# 7
Entry from Alexandria via LeMat-Bulk: an optimized crystal structure of UMnMoRu (GGA-PBE).

Values from the calculation:
* formation enthalpy at 0 K: 52.0 kJ/mol of formula units
* M_tot: 4.26 Bohr magnetons per cell
* total DFT energy (no corrections): -10.0063 eV per atom
* space-group type: F-43m
* crystal system: cubic

a = 4.545 Å, b = 4.545 Å, c = 4.545 Å
α = 60.00°, β = 60.00°, γ = 60.00°
Each line ends with the local moment (μB).
Atoms (fractional coordinates):
1 Ru 0.750 0.750 0.750  0.21
2 Mo 0.250 0.250 0.250  -0.27
3 Mn 0.000 0.000 0.000  3.15
4 U 0.500 0.500 0.500  1.04